Entry 1:
Compound: U2Fe3Si5
Source: Alexandria via LeMat-Bulk
Functional: PBE
Structure: relaxed

Cell lengths 7.862, 7.862, 5.451 Å; angles 109.92, 109.92, 92.55 degrees
Sites, in units of the cell vectors:
U  0.091  0.370  0.226
U  0.370  0.091  0.726
U  0.630  0.909  0.274
U  0.909  0.630  0.774
Fe  0.041  0.753  0.360
Fe  0.247  0.959  0.140
Fe  0.500  0.500  0.250
Fe  0.500  0.500  0.750
Fe  0.753  0.041  0.860
Fe  0.959  0.247  0.640
Si  0.013  0.987  0.750
Si  0.241  0.433  0.832
Si  0.276  0.724  0.750
Si  0.293  0.707  0.250
Si  0.433  0.241  0.332
Si  0.567  0.759  0.668
Si  0.707  0.293  0.750
Si  0.724  0.276  0.250
Si  0.759  0.567  0.168
Si  0.987  0.013  0.250

Output
**Uncorrected formation energy**: -49.2 kJ/mol of atoms
**Raw total energy**: -160.349 eV per cell
**Energy above the lowest structure with this stoichiometry**: 0 meV/atom
**Calculated volume**: 292.87 Å³ per cell



Entry 2:
Compound: U3Fe6Si2
Source: Alexandria via LeMat-Bulk
Functional: PBE
Structure: relaxed

Cell lengths 7.363, 7.363, 7.363 Å; angles 109.47, 109.47, 109.47 degrees
Sites, in units of the cell vectors:
U  0.000  0.278  0.278
U  0.000  0.722  0.722
U  0.278  0.000  0.278
U  0.278  0.278  0.000
U  0.722  0.000  0.722
U  0.722  0.722  0.000
Fe  0.000  0.352  0.648
Fe  0.000  0.648  0.352
Fe  0.297  0.648  0.648
Fe  0.352  0.000  0.648
Fe  0.352  0.352  0.703
Fe  0.352  0.648  0.000
Fe  0.352  0.703  0.352
Fe  0.648  0.000  0.352
Fe  0.648  0.297  0.648
Fe  0.648  0.352  0.000
Fe  0.648  0.648  0.297
Fe  0.703  0.352  0.352
Si  0.000  0.000  0.500
Si  0.000  0.500  0.000
Si  0.500  0.000  0.000
Si  0.500  0.500  0.500

Output
**Uncorrected formation energy**: -35.5 kJ/mol of atoms
**Raw total energy**: -199.065 eV per cell
**Calculated volume**: 307.28 Å³ per cell



Entry 3:
Compound: U3Fe2Si3
Source: Alexandria via LeMat-Bulk
Functional: PBE
Structure: relaxed

Cell lengths 7.818, 13.134, 5.163 Å; angles 90.00, 90.00, 90.00 degrees
Sites, in units of the cell vectors:
U  0.038  0.116  0.095
U  0.038  0.384  0.095
U  0.116  0.250  0.721
U  0.384  0.750  0.221
U  0.462  0.616  0.595
U  0.462  0.884  0.595
U  0.538  0.116  0.405
U  0.538  0.384  0.405
U  0.616  0.250  0.779
U  0.884  0.750  0.279
U  0.962  0.616  0.905
U  0.962  0.884  0.905
Fe  0.081  0.597  0.418
Fe  0.081  0.903  0.418
Fe  0.419  0.097  0.918
Fe  0.419  0.403  0.918
Fe  0.581  0.597  0.082
Fe  0.581  0.903  0.082
Fe  0.919  0.097  0.582
Fe  0.919  0.403  0.582
Si  0.177  0.750  0.654
Si  0.207  0.042  0.616
Si  0.207  0.458  0.616
Si  0.293  0.542  0.116
Si  0.293  0.958  0.116
Si  0.323  0.250  0.154
Si  0.677  0.750  0.846
Si  0.707  0.042  0.884
Si  0.707  0.458  0.884
Si  0.793  0.542  0.384
Si  0.793  0.958  0.384
Si  0.823  0.250  0.346

Output
**Uncorrected formation energy**: -32.9 kJ/mol of atoms
**Raw total energy**: -279.159 eV per cell
**Calculated volume**: 530.12 Å³ per cell



Entry 4:
Compound: UFe2Si
Source: Alexandria via LeMat-Bulk
Functional: PBE
Structure: relaxed

Cell lengths 6.113, 6.113, 6.113 Å; angles 90.00, 90.00, 90.00 degrees
Sites, in units of the cell vectors:
U  0.000  0.000  0.000
U  0.000  0.500  0.500
U  0.500  0.000  0.500
U  0.500  0.500  0.000
Fe  0.250  0.250  0.250
Fe  0.250  0.250  0.750
Fe  0.250  0.750  0.250
Fe  0.250  0.750  0.750
Fe  0.750  0.250  0.250
Fe  0.750  0.250  0.750
Fe  0.750  0.750  0.250
Fe  0.750  0.750  0.750
Si  0.000  0.000  0.500
Si  0.000  0.500  0.000
Si  0.500  0.000  0.000
Si  0.500  0.500  0.500

Output
**Uncorrected formation energy**: -12.2 kJ/mol of atoms
**Raw total energy**: -136.574 eV per cell
**Calculated volume**: 228.43 Å³ per cell